# Rb6UMo4O18, optimized geometry, DFT PBE+U
# - electronic total energy (hartree per atom) = -0.2456
# - magnetic moment (μB per formula unit) = 0.00
# - density of states at the Fermi level (states/eV/atom) = 0.000
data_Rb6UMo4O18
_cell_length_a 17.6888
_cell_length_b 11.7917
_cell_length_c 14.4023
_cell_angle_alpha 90.00
_cell_angle_beta 127.84
_cell_angle_gamma 90.00
_symmetry_space_group_name_H-M 'C 1 2/c 1'
_symmetry_Int_Tables_number 15
_symmetry_space_group_name_Hall '-C 2yc'
loop_
_atom_site_label
_atom_site_type_symbol
_atom_site_fract_x
_atom_site_fract_y
_atom_site_fract_z
Rb1 Rb 0.0000 0.0723 0.2500
Rb2 Rb 0.0000 0.2557 0.7500
Rb3 Rb 0.0573 0.4264 0.1667
Rb4 Rb 0.2026 0.1197 0.1657
U1 U 0.2500 0.2500 0.5000
Mo1 Mo 0.0832 0.1920 0.5713
Mo2 Mo 0.2287 0.4386 0.0419
O1 O 0.0177 0.1912 0.0799
O2 O 0.0660 0.0894 0.6468
O3 O 0.0910 0.3295 0.6288
O4 O 0.1254 0.2880 0.3748
O5 O 0.1289 0.4422 0.8894
O6 O 0.1742 0.1306 0.9408
O7 O 0.1937 0.1595 0.5852
O8 O 0.1959 0.3704 0.1225
O9 O 0.2341 0.0891 0.4055